The following is a PBE calculation of crystalline ScCoOs2 at its relaxed geometry, from Alexandria.

energy relative to the elements = 0.093 eV per atom
N(E_F) = 5.0 states/eV/f.u.
electronic total energy = -35.524 eV per cell

Unit cell a=5.1858 b=5.1858 c=2.7416 alpha=102.58 beta=102.58 gamma=118.35
With the nearest neighbours (Å) after each atom.
Fractional positions:
Sc 0.0000 0.0000 0.0000  4 Os 2.66, 4 Co 2.66-2.90, 2 Sc 2.74
Co 0.5000 0.5000 0.0000  4 Os 2.66, 4 Sc 2.66-2.90, 2 Co 2.74
Os 0.0000 0.5000 0.5000  2 Co 2.66, 2 Sc 2.66, 6 Os 2.66-2.90
Os 0.5000 0.0000 0.5000  2 Co 2.66, 2 Sc 2.66, 6 Os 2.66-2.90


The following is a PBE calculation of crystalline ErSc2Bi2 at its relaxed geometry, from Alexandria.

energy relative to the elements = -0.383 eV per atom
N(E_F) = 4.9 states/eV/f.u.
electronic total energy = -26.903 eV per cell

Unit cell a=4.5944 b=4.5944 c=7.2005 alpha=101.27 beta=101.27 gamma=78.40
With the nearest neighbours (Å) after each atom.
Fractional positions:
Er 0.0000 0.0000 0.0000  6 Bi 3.12-3.38
Sc 0.2473 0.7527 0.5000  2 Sc 2.87-2.94, 4 Bi 3.01-3.04
Sc 0.7527 0.2473 0.5000  2 Sc 2.87-2.94, 4 Bi 3.01-3.04
Bi 0.3282 0.3282 0.7824  4 Sc 3.01-3.04, 1 Er 3.12
Bi 0.6718 0.6718 0.2176  4 Sc 3.01-3.04, 1 Er 3.12


The following is a PBE calculation of crystalline Er8CdRh2 at its relaxed geometry, from Alexandria.

energy relative to the elements = -0.354 eV per atom
N(E_F) = 12.2 states/eV/f.u.
electronic total energy = -56.020 eV per cell

Unit cell a=7.8505 b=7.8505 c=5.4267 alpha=97.51 beta=97.51 gamma=113.85
With the nearest neighbours (Å) after each atom.
Fractional positions:
Er 0.0721 0.3300 0.5795  2 Rh 2.83-2.87
Er 0.2465 0.7535 0.0000  2 Rh 2.83
Er 0.3300 0.0721 0.5795  2 Rh 2.83-2.87
Er 0.3857 0.3857 0.1952  2 Rh 3.07, 4 Er 3.21-3.42, 1 Cd 3.22
Er 0.6143 0.6143 0.8048  2 Rh 3.07, 4 Er 3.21-3.42, 1 Cd 3.22
Er 0.6700 0.9279 0.4205  2 Rh 2.83-2.87
Er 0.7535 0.2465 0.0000  2 Rh 2.83
Er 0.9279 0.6700 0.4205  2 Rh 2.83-2.87
Cd 0.0000 0.0000 0.0000  8 Er 3.22-3.60
Rh 0.3063 0.6937 0.5000  8 Er 2.83-3.07
Rh 0.6937 0.3063 0.5000  8 Er 2.83-3.07


The following is a PBE calculation of crystalline Ho2UH at its relaxed geometry, from Alexandria.

N(E_F) = 6.8 states/eV/f.u.
electronic total energy = -22.850 eV per cell

Unit cell a=9.4569 b=9.4569 c=9.4569 alpha=19.62 beta=19.62 gamma=19.62
With the nearest neighbours (Å) after each atom.
Fractional positions:
Ho 0.1157 0.1157 0.1157  3 H 2.34
Ho 0.8843 0.8843 0.8843  3 H 2.34
U 0.0000 0.0000 0.0000  2 Ho 3.22, 6 U 3.22
H 0.5000 0.5000 0.5000  6 Ho 2.34


The following is a PBE calculation of crystalline Fe3Ag at its relaxed geometry, from Alexandria.

energy relative to the elements = 0.349 eV per atom
N(E_F) = 4.9 states/eV/f.u.
electronic total energy = -26.844 eV per cell

Unit cell a=3.7723 b=3.7723 c=3.7723 alpha=90.00 beta=90.00 gamma=90.00
With the nearest neighbours (Å) after each atom.
Fractional positions:
Fe 0.0000 0.0000 0.5000  8 Fe 2.67, 4 Ag 2.67
Fe 0.0000 0.5000 0.0000  8 Fe 2.67, 4 Ag 2.67
Fe 0.5000 0.0000 0.0000  8 Fe 2.67, 4 Ag 2.67
Ag 0.5000 0.5000 0.5000  12 Fe 2.67


The following is a PBE calculation of crystalline TiMnCrSb at its relaxed geometry, from Alexandria.

uncorrected formation energy = -0.0932 eV/atom
N(E_F) = 3.3 states/eV/f.u.
electronic total energy = -31.183 eV per cell

Unit cell a=4.3440 b=4.3440 c=4.3440 alpha=60.00 beta=60.00 gamma=60.00
With the nearest neighbours (Å) after each atom.
Fractional positions:
Ti 0.0000 0.0000 0.0000  4 Mn 2.66, 4 Cr 2.66
Mn 0.7500 0.7500 0.7500  4 Sb 2.66, 4 Ti 2.66
Cr 0.2500 0.2500 0.2500  4 Sb 2.66, 4 Ti 2.66
Sb 0.5000 0.5000 0.5000  4 Cr 2.66, 4 Mn 2.66


The following is a PBE calculation of crystalline Er2ScAl at its relaxed geometry, from Alexandria.

energy relative to the elements = -0.182 eV per atom
N(E_F) = 4.8 states/eV/f.u.
electronic total energy = -19.929 eV per cell

Unit cell a=3.4300 b=3.4300 c=8.6701 alpha=90.00 beta=90.00 gamma=90.00
With the nearest neighbours (Å) after each atom.
Fractional positions:
Er 0.0000 0.0000 0.2251  4 Al 3.11, 4 Sc 3.40, 4 Er 3.43
Er 0.0000 0.0000 0.7749  4 Al 3.11, 4 Sc 3.40, 4 Er 3.43
Sc 0.5000 0.5000 0.5000  8 Er 3.40, 4 Sc 3.43
Al 0.5000 0.5000 0.0000  8 Er 3.11, 4 Al 3.43


The following is a PBE calculation of crystalline InGaFe2S at its relaxed geometry, from Alexandria.

uncorrected formation energy = 0.4099 eV/atom
N(E_F) = 7.0 states/eV/f.u.
electronic total energy = -24.769 eV per cell

Unit cell a=4.2217 b=4.2217 c=5.6343 alpha=90.00 beta=90.00 gamma=90.00
With the nearest neighbours (Å) after each atom.
Fractional positions:
In 0.0000 0.0000 0.0000  2 S 2.82, 4 Ga 2.99
Ga 0.5000 0.5000 0.0000  4 In 2.99
Fe 0.0000 0.5000 0.5000  2 S 2.11
Fe 0.5000 0.0000 0.5000  2 S 2.11
S 0.0000 0.0000 0.5000  4 Fe 2.11